NdAl6Ag (PBE, relaxed); calculated density = 4.43 g/cm3; energy = -3.84 eV per atom
1.0
-4.8139 0.2518 -3.9377
2.7727 -5.4460 1.1815
-2.9151 -0.7210 3.5177
Al Nd Ag
6 1 1
Direct
0.3408 0.1704 0.5000 Al
0.5192 0.0385 0.0000 Al
0.8296 0.1704 0.5000 Al
0.5192 0.4808 0.0000 Al
0.8296 0.6592 0.5000 Al
0.9615 0.4808 0.0000 Al
0.3333 0.6667 0.5000 Nd
0.0000 0.0000 0.0000 Ag